# 1
First-principles (PBE) data for crystalline Cr2CdIn at its relaxed geometry, as listed in the Alexandria database.

Cell and atoms, written as CIF:
```
data_Cr2CdIn
_chemical_formula_sum 'Cr2 Cd1 In1'
_space_group_name_H-M_alt 'P 1 2/m 1'
_space_group_IT_number 10
_space_group_name_Hall '-P 2y'
_cell_length_a 2.9050
_cell_length_b 4.3527
_cell_length_c 5.5965
_cell_angle_alpha 90.00
_cell_angle_beta 95.10
_cell_angle_gamma 90.00
loop_
_atom_site_label
_atom_site_fract_x
_atom_site_fract_y
_atom_site_fract_z
Cr1 0.0205 0.0000 0.3139
Cd1 0.5000 0.5000 0.0000
In1 0.5000 0.5000 0.5000
```



# 2
First-principles (PBE) data for crystalline Cr2CdIn at its relaxed geometry, as listed in the Alexandria database.

Cell and atoms, written as CIF:
```
data_Cr2CdIn
_chemical_formula_sum 'Cr6 Cd3 In3'
_space_group_name_H-M_alt 'R -3 m'
_space_group_IT_number 166
_space_group_name_Hall '-R 3 2"'
_cell_length_a 3.1321
_cell_length_b 3.1321
_cell_length_c 27.3561
_cell_angle_alpha 90.00
_cell_angle_beta 90.00
_cell_angle_gamma 120.00
loop_
_atom_site_label
_atom_site_fract_x
_atom_site_fract_y
_atom_site_fract_z
Cr1 0.0000 0.0000 0.2493
Cd1 0.0000 0.0000 0.0000
In1 0.0000 0.0000 0.5000
```



# 3
First-principles (PBE) data for crystalline Cr2CdIn at its relaxed geometry, as listed in the Alexandria database.

Cell and atoms, written as CIF:
```
data_Cr2CdIn
_chemical_formula_sum 'Cr2 Cd1 In1'
_space_group_name_H-M_alt 'P 4/m m m'
_space_group_IT_number 123
_space_group_name_Hall '-P 4 2'
_cell_length_a 3.2328
_cell_length_b 3.2328
_cell_length_c 7.1021
_cell_angle_alpha 90.00
_cell_angle_beta 90.00
_cell_angle_gamma 90.00
loop_
_atom_site_label
_atom_site_fract_x
_atom_site_fract_y
_atom_site_fract_z
Cr1 0.0000 0.0000 0.2504
Cd1 0.5000 0.5000 0.0000
In1 0.5000 0.5000 0.5000
```



# 4
First-principles (PBE) data for crystalline CrCd2In at its relaxed geometry, as listed in the Alexandria database.

Cell and atoms, written as CIF:
```
data_CrCd2In
_chemical_formula_sum 'Cr1 Cd2 In1'
_space_group_name_H-M_alt 'P 4 m m'
_space_group_IT_number 99
_space_group_name_Hall 'P 4 -2'
_cell_length_a 3.1559
_cell_length_b 3.1559
_cell_length_c 8.4305
_cell_angle_alpha 90.00
_cell_angle_beta 90.00
_cell_angle_gamma 90.00
loop_
_atom_site_label
_atom_site_fract_x
_atom_site_fract_y
_atom_site_fract_z
Cr1 0.0000 0.0000 0.0000
Cd1 0.0000 0.0000 0.5082
Cd2 0.5000 0.5000 0.7741
In1 0.5000 0.5000 0.2273
```



Results for formation energy: 0.647, 0.592, 0.432, 0.257 (in eV per atom, following the order of the records).